Compound: CsVGeO4
Source: the Alexandria database
Functional: PBE with a Hubbard U
Structure: relaxed

Unit cell a=5.460 b=5.764 c=9.265 alpha=90.00 beta=124.04 gamma=90.00
Each line ends with the local moment (μB).
Sites, in units of the cell vectors:
O (0.980, 0.973, 0.356)  -0.02
Ge (0.228, 0.750, 0.369)  0.01
O (0.378, 0.750, 0.242)  -0.01
O (0.436, 0.250, 0.425)  -0.01
V (0.819, 0.750, 0.477)  1.92
V (0.181, 0.250, 0.523)  1.92
Cs (0.633, 0.750, 0.900)  0.00
O (0.622, 0.250, 0.758)  -0.01
Ge (0.772, 0.250, 0.631)  0.01
O (0.980, 0.527, 0.356)  -0.02
O (0.564, 0.750, 0.575)  -0.01
O (0.020, 0.027, 0.644)  -0.02
Cs (0.367, 0.250, 0.100)  0.00
O (0.020, 0.473, 0.644)  -0.02

Magnetic moment, μB/f.u.: 2.0
Uncorrected energy, eV per atom: -6.412
DOS(E_F), states/eV/f.u.: 0.0